CrIn3B after structural relaxation, computed with PBEsol.

Cell: 4.728 4.728 4.728 Å, 90.00 90.00 90.00°
Each line ends with the local moment (μB).
Sites, in units of the cell vectors:
In: 0.000 0.000 0.500  -0.02
Cr: 0.500 0.500 0.500  3.98
In: 0.000 0.500 0.000  -0.02
B: 0.000 0.000 0.000  0.04
In: 0.500 0.000 0.000  -0.02

- Electronic total energy: -4.34 eV per atom
- Space group: No. 221